Record 1
PuAlZn | PBE | optimized geometry

Structure (POSCAR):
```
PuAlZn
1.0
4.7380 0.0000 0.0000
-2.3690 4.1032 0.0000
0.0000 0.0000 2.9996
Pu Al Zn
1 1 1
Direct
0.0000 0.0000 0.0000
0.3333 0.6667 0.5000
0.6667 0.3333 0.5000
```

Output
Symmetry: P-6m2, No. 187
E_form, meV/atom: -232

***

Record 2
CdRe2As | PBE | optimized geometry

Structure (POSCAR):
```
CdRe2As
1.0
2.7002 -4.2052 0.0000
2.7002 4.2052 0.0000
0.0000 0.0000 2.9486
Cd Re As
1 2 1
Direct
0.0000 0.0000 0.0000
0.0000 0.5000 0.5000
0.5000 0.0000 0.5000
0.5000 0.5000 0.0000
```

Output
Symmetry: Cmmm, No. 65
Excess energy over the best structure of this formula in the dataset, meV/atom: 785
E_form, meV/atom: 983

***

Record 3
BaCuRh2 | PBE | optimized geometry

Structure (POSCAR):
```
BaCuRh2
1.0
3.2941 0.0000 0.0000
0.0000 3.2941 0.0000
0.0000 0.0000 7.1161
Ba Cu Rh
1 1 2
Direct
0.0000 0.0000 0.0000
0.0000 0.0000 0.5000
0.5000 0.5000 0.3173
0.5000 0.5000 0.6827
```

Output
Symmetry: P4/mmm, No. 123
Excess energy over the best structure of this formula in the dataset, meV/atom: 437
E_form, meV/atom: 329

***

Record 4
AgC3 | PBE | optimized geometry

Structure (POSCAR):
```
AgC3
1.0
-1.3138 1.3138 11.0944
1.3138 -1.3138 11.0944
1.3138 1.3138 -11.0944
Ag C
2 6
Direct
0.1414 0.1414 0.0000
0.8586 0.8586 0.0000
0.0000 0.5000 0.5000
0.2500 0.7500 0.5000
0.4486 0.4486 0.0000
0.5000 0.0000 0.5000
0.5514 0.5514 0.0000
0.7500 0.2500 0.5000
```

Output
Symmetry: I4/mmm, No. 139
Excess energy over the best structure of this formula in the dataset, meV/atom: 1716
E_form, meV/atom: 2674